This record from the Alexandria database describes crystalline Na2In5Bi at its relaxed geometry. The functional is GGA-PBE.

Values from the calculation:
- energy of formation (eV per atom) = -0.10
- total energy (eV per atom) = -2.628
- total magnetic moment (Bohr magnetons per cell) = 0.0
- N(E_F) (states/eV/cell) = 8.9
- space group = No. 55

Unit cell a=6.940 b=13.430 c=4.667 alpha=90.00 beta=90.00 gamma=90.00
Fractional positions:
Na 0.235 0.122 0.000
Na 0.265 0.622 0.000
Na 0.735 0.378 0.000
Na 0.765 0.878 0.000
In 0.000 0.500 0.500
In 0.026 0.751 0.500
In 0.227 0.369 0.000
In 0.273 0.869 0.000
In 0.474 0.251 0.500
In 0.500 0.000 0.500
In 0.526 0.749 0.500
In 0.727 0.131 0.000
In 0.773 0.631 0.000
In 0.974 0.249 0.500
Bi 0.000 0.000 0.500
Bi 0.500 0.500 0.500

=====

This record from the Alexandria database describes crystalline Np2USe3 at its relaxed geometry. The functional is GGA-PBE.

Values from the calculation:
- total energy (eV per atom) = -8.970
- raw formation energy (meV/atom) = -1033
- total magnetic moment (Bohr magnetons per cell) = 23.3
- N(E_F) (states/eV/cell) = 41.9
- space group = No. 71

Unit cell a=4.039 b=5.777 c=12.415 alpha=90.00 beta=90.00 gamma=90.00
Fractional positions:
Np 0.000 0.000 0.167
Np 0.000 0.000 0.833
Np 0.500 0.500 0.333
Np 0.500 0.500 0.667
U 0.000 0.000 0.500
U 0.500 0.500 0.000
Se 0.000 0.500 0.167
Se 0.000 0.500 0.500
Se 0.000 0.500 0.833
Se 0.500 0.000 0.000
Se 0.500 0.000 0.333
Se 0.500 0.000 0.667

=====

This record from the Alexandria database describes crystalline CsHfRe3 at its relaxed geometry. The functional is GGA-PBE.

Values from the calculation:
- energy of formation (eV per atom) = 2.59
- total energy (eV per atom) = -7.040
- total magnetic moment (Bohr magnetons per cell) = 4.6
- E above lowest polymorph (meV/atom) = 0
- N(E_F) (states/eV/cell) = 4.4
- space group = No. 221

Unit cell a=5.071 b=5.071 c=5.071 alpha=90.00 beta=90.00 gamma=90.00
Fractional positions:
Cs 0.000 0.000 0.000
Hf 0.500 0.500 0.500
Re 0.000 0.500 0.500
Re 0.500 0.000 0.500
Re 0.500 0.500 0.000

=====

This record from the Alexandria database describes crystalline LiNiAgPt at its relaxed geometry. The functional is GGA-PBE.

Values from the calculation:
- energy of formation (eV per atom) = -0.13
- total energy (eV per atom) = -4.275
- total magnetic moment (Bohr magnetons per cell) = 2.2
- N(E_F) (states/eV/cell) = 22.1
- space group = No. 216

Unit cell a=6.069 b=6.069 c=6.069 alpha=90.00 beta=90.00 gamma=90.00
Fractional positions:
Li 0.000 0.000 0.000
Li 0.000 0.500 0.500
Li 0.500 0.000 0.500
Li 0.500 0.500 0.000
Ni 0.000 0.000 0.500
Ni 0.000 0.500 0.000
Ni 0.500 0.000 0.000
Ni 0.500 0.500 0.500
Ag 0.250 0.250 0.750
Ag 0.250 0.750 0.250
Ag 0.750 0.250 0.250
Ag 0.750 0.750 0.750
Pt 0.250 0.250 0.250
Pt 0.250 0.750 0.750
Pt 0.750 0.250 0.750
Pt 0.750 0.750 0.250

=====

Look up the total energy of the fourth one. -4.275 eV per atom